(1)
A plane-wave DFT calculation with PBE-GGA was carried out for a geometry-optimized Pa2CuPd9 structure.

Raw total energy in eV for the cell shown: -77.11
Density in g/cm³: 12.15
Energy of formation in kcal/mol of atoms: -14.0
Volume in Å³/cell: 203
D(E_F) in states/eV/atom: 0.25

Cell lengths 4.125, 4.125, 11.910 Å; angles 90.00, 90.00, 90.00 degrees
Atoms (fractional coordinates):
Pd1 0.500 0.000 0.500
Pd2 0.500 0.500 0.669
Pd3 0.000 0.500 0.159
Pd4 0.000 0.500 0.841
Pd5 0.500 0.000 0.159
Pd6 0.500 0.500 0.331
Pd7 0.500 0.000 0.841
Pd8 0.000 0.500 0.500
Pd9 0.500 0.500 0.000
Cu1 0.000 0.000 0.000
Pa1 0.000 0.000 0.683
Pa2 0.000 0.000 0.317

(2)
A plane-wave DFT calculation with PBE-GGA was carried out for a geometry-optimized PaCuPd4 structure.

Raw total energy in eV for the cell shown: -36.91
Density in g/cm³: 11.47
Energy of formation in kcal/mol of atoms: -9.8
Volume in Å³/cell: 104
D(E_F) in states/eV/atom: 0.55
Energy above the most stable polymorph in this dataset in meV per atom: 79

Cell lengths 5.283, 5.283, 5.283 Å; angles 60.00, 60.00, 60.00 degrees
Atoms (fractional coordinates):
Pd1 0.123 0.626 0.626
Pd2 0.626 0.626 0.123
Pd3 0.626 0.123 0.626
Pd4 0.626 0.626 0.626
Cu1 0.000 0.000 0.000
Pa1 0.250 0.250 0.250

(3)
A plane-wave DFT calculation with PBE-GGA was carried out for a geometry-optimized PaCu2Pd7 structure.

Raw total energy in eV for the cell shown: -53.95
Density in g/cm³: 9.20
Energy of formation in kcal/mol of atoms: 0.2
Volume in Å³/cell: 199
D(E_F) in states/eV/atom: 0.36

Cell lengths 4.407, 7.192, 7.192 Å; angles 119.17, 90.00, 90.00 degrees
Atoms (fractional coordinates):
Pd1 0.500 0.302 0.072
Pd2 0.000 0.793 0.207
Pd3 0.500 0.928 0.698
Pd4 0.500 0.698 0.928
Pd5 0.500 0.072 0.302
Pd6 0.500 0.500 0.500
Pd7 0.000 0.207 0.793
Pa1 0.000 0.000 0.000
Cu1 0.500 0.301 0.699
Cu2 0.500 0.699 0.301

(4)
A plane-wave DFT calculation with PBE-GGA was carried out for a geometry-optimized PaCu6Pd6 structure.

Raw total energy in eV for the cell shown: -69.27
Density in g/cm³: 10.85
Energy of formation in kcal/mol of atoms: -7.2
Volume in Å³/cell: 191
D(E_F) in states/eV/atom: 0.53

Cell lengths 5.089, 6.642, 6.642 Å; angles 83.57, 67.48, 67.48 degrees
Atoms (fractional coordinates):
Cu1 0.000 0.500 0.000
Cu2 0.500 0.757 0.243
Cu3 0.500 0.243 0.757
Cu4 0.500 0.500 0.000
Cu5 0.000 0.000 0.500
Cu6 0.500 0.000 0.500
Pd1 0.334 0.666 0.666
Pd2 0.681 0.819 0.819
Pd3 0.000 0.343 0.657
Pd4 0.319 0.181 0.181
Pd5 0.000 0.657 0.343
Pd6 0.666 0.334 0.334
Pa1 0.000 0.000 0.000

(5)
A plane-wave DFT calculation with PBE-GGA was carried out for a geometry-optimized PaCu2Pd2 structure.

Raw total energy in eV for the cell shown: -29.06
Density in g/cm³: 10.84
Energy of formation in kcal/mol of atoms: -4.5
Volume in Å³/cell: 87
D(E_F) in states/eV/atom: 1.08
Energy above the most stable polymorph in this dataset in meV per atom: 18

Cell lengths 4.083, 4.083, 5.568 Å; angles 89.99, 89.99, 109.59 degrees
Atoms (fractional coordinates):
Pd1 0.500 0.500 0.254
Pd2 0.500 0.500 0.746
Pa1 0.000 0.000 0.000
Cu1 0.174 0.826 0.500
Cu2 0.826 0.174 0.500

(6)
A plane-wave DFT calculation with PBE-GGA was carried out for a geometry-optimized PaCuPd4 structure.

Raw total energy in eV for the cell shown: -74.67
Density in g/cm³: 11.74
Energy of formation in kcal/mol of atoms: -11.4
Volume in Å³/cell: 204
D(E_F) in states/eV/atom: 0.66
Energy above the most stable polymorph in this dataset in meV per atom: 8

Cell lengths 5.228, 7.554, 5.587 Å; angles 90.00, 90.00, 112.54 degrees
Atoms (fractional coordinates):
Pd1 0.130 0.286 0.500
Pd2 0.870 0.714 0.000
Pd3 0.297 0.004 0.750
Pd4 0.328 0.641 0.750
Pd5 0.703 0.996 0.250
Pd6 0.672 0.359 0.250
Pd7 0.130 0.286 0.000
Pd8 0.870 0.714 0.500
Pa1 0.328 0.643 0.250
Pa2 0.672 0.357 0.750
Cu1 0.773 0.981 0.750
Cu2 0.227 0.019 0.250

(7)
A plane-wave DFT calculation with PBE-GGA was carried out for a geometry-optimized PmPaCuPd structure.

Raw total energy in eV for the cell shown: -24.22
Density in g/cm³: 10.32
Energy of formation in kcal/mol of atoms: -3.9
Volume in Å³/cell: 88
D(E_F) in states/eV/atom: 1.57

Cell lengths 4.990, 4.990, 4.990 Å; angles 60.00, 60.00, 60.00 degrees
Last column: magnetic moment on the atom in μB.
Atoms (fractional coordinates):
Cu1 0.250 0.250 0.250  -0.01
Pm1 0.500 0.500 0.500  0.04
Pd1 0.750 0.750 0.750  -0.01
Pa1 0.000 0.000 0.000  0.37

(8)
A plane-wave DFT calculation with PBE-GGA was carried out for a geometry-optimized PaCuPdPt structure.

Raw total energy in eV for the cell shown: -26.99
Density in g/cm³: 13.48
Energy of formation in kcal/mol of atoms: -12.5
Volume in Å³/cell: 73
D(E_F) in states/eV/atom: 0.89

Cell lengths 4.701, 4.701, 4.701 Å; angles 60.00, 60.00, 60.00 degrees
Atoms (fractional coordinates):
Pt1 0.750 0.750 0.750
Cu1 0.000 0.000 0.000
Pa1 0.500 0.500 0.500
Pd1 0.250 0.250 0.250

(9)
A plane-wave DFT calculation with PBE-GGA was carried out for a geometry-optimized PaCuPdRh structure.

Raw total energy in eV for the cell shown: -27.83
Density in g/cm³: 11.82
Energy of formation in kcal/mol of atoms: -9.8
Volume in Å³/cell: 71
D(E_F) in states/eV/atom: 1.18

Cell lengths 4.644, 4.644, 4.644 Å; angles 60.00, 60.00, 60.00 degrees
Atoms (fractional coordinates):
Rh1 0.750 0.750 0.750
Pa1 0.000 0.000 0.000
Cu1 0.500 0.500 0.500
Pd1 0.250 0.250 0.250

(10)
A plane-wave DFT calculation with PBE-GGA was carried out for a geometry-optimized PaCuPdRu structure.

Raw total energy in eV for the cell shown: -29.15
Density in g/cm³: 12.03
Energy of formation in kcal/mol of atoms: -6.3
Volume in Å³/cell: 69
D(E_F) in states/eV/atom: 0.83
Energy above the most stable polymorph in this dataset in meV per atom: 265

Cell lengths 4.611, 4.611, 4.611 Å; angles 60.00, 60.00, 60.00 degrees
Atoms (fractional coordinates):
Pa1 0.000 0.000 0.000
Ru1 0.250 0.250 0.250
Cu1 0.500 0.500 0.500
Pd1 0.750 0.750 0.750

(11)
A plane-wave DFT calculation with PBE-GGA was carried out for a geometry-optimized PaCuPdRu structure.

Raw total energy in eV for the cell shown: -30.21
Density in g/cm³: 12.43
Energy of formation in kcal/mol of atoms: -12.4
Volume in Å³/cell: 67
D(E_F) in states/eV/atom: 0.21
Energy above the most stable polymorph in this dataset in meV per atom: 0

Cell lengths 3.810, 3.934, 4.475 Å; angles 90.00, 90.00, 90.00 degrees
Atoms (fractional coordinates):
Ru1 0.000 0.000 0.000
Pa1 0.500 0.500 0.000
Pd1 0.000 0.500 0.500
Cu1 0.500 0.000 0.500

(12)
A plane-wave DFT calculation with PBE-GGA was carried out for a geometry-optimized PaCu2PdS4 structure.

Raw total energy in eV for the cell shown: -44.60
Density in g/cm³: 7.12
Volume in Å³/cell: 138
E_form (uncorrected) in eV/atom: -0.65
D(E_F) in states/eV/atom: 0.50

Cell lengths 6.496, 5.642, 5.642 Å; angles 70.30, 54.85, 54.85 degrees
Atoms (fractional coordinates):
S1 0.079 0.921 0.486
S2 0.515 0.486 0.921
S3 0.485 0.079 0.514
S4 0.921 0.514 0.079
Pd1 0.500 0.500 0.500
Cu1 0.780 0.720 0.720
Cu2 0.220 0.280 0.280
Pa1 0.000 0.000 0.000